Cs3NaMo2O8 | GGA+U | optimized geometry

The value obtained for the total energy is -84.04 eV/cell. Its density of states at the Fermi level is 0.000 states/eV per atom. Its crystal system is trigonal.

It has space group P-3m1 (No. 164), with a = 6.4654 Å, b = 6.4654 Å, c = 8.3790 Å, α = 90.00°, β = 90.00° and γ = 120.00°. The distinct sites, in fractional coordinates, are Cs at (0.0000, 0.0000, 0.0000), Cs at (0.3333, 0.6667, 0.6737), Na at (0.0000, 0.0000, 0.5000), Mo at (0.3333, 0.6667, 0.2369), O at (0.1818, 0.3636, 0.3113) and O at (0.3333, 0.6667, 0.0236).